Record 1
An optimized crystal structure of TbY2Er5Th. Source: Alexandria via LeMat-Bulk, functional GGA-PBE.

```
TbY2Er5Th
1.0
5.671 0.000 0.000
-2.835 10.644 0.000
0.000 0.000 9.714
Er Tb Th Y
10 2 2 4
Direct
0.271 0.543 0.326 Er
0.985 0.970 0.519 Er
0.530 0.061 0.240 Er
0.601 0.202 0.540 Er
0.729 0.457 0.826 Er
0.695 0.390 0.216 Er
0.470 0.939 0.740 Er
0.305 0.610 0.716 Er
0.399 0.798 0.040 Er
0.015 0.030 0.019 Er
0.192 0.384 0.018 Tb
0.808 0.616 0.518 Tb
0.594 0.188 0.924 Th
0.406 0.812 0.424 Th
0.115 0.229 0.329 Y
0.871 0.742 0.212 Y
0.129 0.258 0.712 Y
0.885 0.771 0.829 Y
```

The energy of formation comes out at 165.7 meV/atom. The calculation puts the calculated density at 8.0 g/cm³. The energy is -5.1446 eV per atom.

=====

Record 2
An optimized crystal structure of Tb3Y6ErTh2. Source: Alexandria via LeMat-Bulk, functional GGA-PBE.

```
Tb3Y6ErTh2
1.0
-1.476 -2.293 -5.545
-0.855 -3.413 5.079
-9.961 6.205 1.235
Th Y Er Tb
2 6 1 3
Direct
0.667 0.333 0.000 Th
0.333 0.667 0.000 Th
0.746 0.746 0.248 Y
0.581 0.917 0.753 Y
0.917 0.581 0.753 Y
0.419 0.083 0.247 Y
0.254 0.254 0.752 Y
0.083 0.419 0.247 Y
0.000 0.000 0.000 Er
0.166 0.834 0.500 Tb
0.834 0.166 0.500 Tb
0.500 0.500 0.500 Tb
```

The energy of formation comes out at 23.0 meV/atom. The calculation puts the calculated density at 7.1 g/cm³. The energy is -5.9835 eV per atom.

=====

Record 3
An optimized crystal structure of TbY3ErTh. Source: Alexandria via LeMat-Bulk, functional GGA-PBE.

```
TbY3ErTh
1.0
-0.455 -2.231 -4.516
7.927 -0.107 -0.746
-4.457 -8.511 4.653
Tb Er Y Th
2 2 6 2
Direct
0.750 0.878 0.707 Tb
0.250 0.122 0.293 Tb
0.750 0.873 0.373 Er
0.250 0.127 0.627 Er
0.250 0.618 0.793 Y
0.250 0.627 0.457 Y
0.750 0.373 0.543 Y
0.750 0.870 0.044 Y
0.750 0.382 0.207 Y
0.250 0.130 0.956 Y
0.250 0.623 0.123 Th
0.750 0.377 0.877 Th
```

The energy of formation comes out at 29.0 meV/atom. The calculation puts the calculated density at 7.1 g/cm³. The energy is -5.9719 eV per atom.

=====

Record 4
An optimized crystal structure of Tb2Y2ErTh. Source: Alexandria via LeMat-Bulk, functional GGA-PBE.

```
Tb2Y2ErTh
1.0
5.620 0.000 0.000
0.000 6.996 0.000
0.000 0.000 9.782
Tb Y Th Er
4 4 2 2
Direct
0.000 0.758 0.175 Tb
0.500 0.758 0.659 Tb
0.000 0.258 0.825 Tb
0.500 0.258 0.341 Tb
0.000 0.258 0.159 Y
0.000 0.758 0.841 Y
0.500 0.508 0.000 Y
0.500 0.008 0.000 Y
0.500 0.758 0.327 Th
0.500 0.258 0.673 Th
0.000 0.008 0.500 Er
0.000 0.508 0.500 Er
```

The energy of formation comes out at 89.6 meV/atom. The calculation puts the calculated density at 7.7 g/cm³. The energy is -5.6057 eV per atom.

=====

Record 5
An optimized crystal structure of Tb5YErTh2. Source: Alexandria via LeMat-Bulk, functional GGA-PBE.

```
Tb5YErTh2
1.0
-4.718 -7.185 -1.578
5.439 -2.145 -6.495
4.064 0.654 9.066
Er Tb Y Th
2 10 2 4
Direct
0.250 0.750 0.500 Er
0.750 0.250 0.500 Er
0.649 0.149 0.720 Tb
0.149 0.071 0.720 Tb
0.071 0.571 0.720 Tb
0.351 0.851 0.280 Tb
0.851 0.929 0.280 Tb
0.429 0.351 0.280 Tb
0.571 0.649 0.720 Tb
0.000 0.000 0.000 Tb
0.500 0.500 0.000 Tb
0.929 0.429 0.280 Tb
0.250 0.250 0.500 Y
0.750 0.750 0.500 Y
0.380 0.880 0.000 Th
0.880 0.620 0.000 Th
0.120 0.380 0.000 Th
0.620 0.120 0.000 Th
```

The energy of formation comes out at 339.1 meV/atom. The calculation puts the calculated density at 8.4 g/cm³. The energy is -5.1073 eV per atom.

=====

Record 6
An optimized crystal structure of TbY6Er3Th2. Source: Alexandria via LeMat-Bulk, functional GGA-PBE.

```
TbY6Er3Th2
1.0
-4.954 0.978 -3.543
-0.646 -2.648 5.534
0.472 11.001 4.170
Y Er Th Tb
6 3 2 1
Direct
0.747 0.747 0.249 Y
0.420 0.084 0.249 Y
0.084 0.420 0.249 Y
0.253 0.253 0.751 Y
0.580 0.916 0.751 Y
0.916 0.580 0.751 Y
0.500 0.500 0.500 Er
0.834 0.166 0.500 Er
0.166 0.834 0.500 Er
0.667 0.333 0.000 Th
0.333 0.667 0.000 Th
0.000 0.000 0.000 Tb
```

The energy of formation comes out at 30.1 meV/atom. The calculation puts the calculated density at 7.2 g/cm³. The energy is -5.9652 eV per atom.

=====

Record 7
An optimized crystal structure of Tb2Y5ErTh. Source: Alexandria via LeMat-Bulk, functional GGA-PBE.

```
Tb2Y5ErTh
1.0
-0.505 -2.459 5.131
5.811 -7.308 -6.109
8.301 4.225 2.842
Y Th Tb Er
10 2 4 2
Direct
0.985 0.971 0.515 Y
0.470 0.941 0.742 Y
0.305 0.609 0.716 Y
0.606 0.212 0.541 Y
0.695 0.391 0.216 Y
0.730 0.461 0.829 Y
0.394 0.788 0.041 Y
0.015 0.029 0.015 Y
0.530 0.059 0.242 Y
0.270 0.539 0.329 Y
0.403 0.807 0.423 Th
0.597 0.193 0.923 Th
0.885 0.770 0.827 Tb
0.871 0.742 0.213 Tb
0.115 0.230 0.327 Tb
0.129 0.258 0.713 Tb
0.189 0.378 0.018 Er
0.811 0.622 0.518 Er
```

The energy of formation comes out at 161.8 meV/atom. The calculation puts the calculated density at 6.4 g/cm³. The energy is -5.7898 eV per atom.

=====

Record 8
An optimized crystal structure of Tb2YEr2Th. Source: Alexandria via LeMat-Bulk, functional GGA-PBE.

```
Tb2YEr2Th
1.0
-1.701 2.330 -6.045
4.526 -6.589 -3.813
-5.797 -3.031 0.463
Tb Y Er Th
4 2 4 2
Direct
0.002 0.164 0.185 Tb
0.498 0.164 0.185 Tb
0.998 0.836 0.815 Tb
0.502 0.836 0.815 Tb
0.750 0.162 0.678 Y
0.250 0.838 0.322 Y
0.750 0.838 0.313 Er
0.250 0.162 0.687 Er
0.250 0.515 0.582 Er
0.750 0.485 0.418 Er
0.750 0.520 0.928 Th
0.250 0.480 0.072 Th
```

The energy of formation comes out at 175.7 meV/atom. The calculation puts the calculated density at 8.4 g/cm³. The energy is -5.2027 eV per atom.

=====

Record 9
An optimized crystal structure of TbYEr5Th2. Source: Alexandria via LeMat-Bulk, functional GGA-PBE.

```
TbYEr5Th2
1.0
8.731 0.000 0.000
0.000 8.731 0.000
-4.365 -4.365 7.663
Er Th Y Tb
10 4 2 2
Direct
0.151 0.070 0.721 Er
0.349 0.849 0.279 Er
0.849 0.930 0.279 Er
0.570 0.651 0.721 Er
0.000 0.000 0.000 Er
0.651 0.151 0.721 Er
0.070 0.570 0.721 Er
0.500 0.500 0.000 Er
0.930 0.430 0.279 Er
0.430 0.349 0.279 Er
0.619 0.119 0.000 Th
0.119 0.381 0.000 Th
0.881 0.619 0.000 Th
0.381 0.881 0.000 Th
0.750 0.750 0.500 Y
0.250 0.250 0.500 Y
0.750 0.250 0.500 Tb
0.250 0.750 0.500 Tb
```

The energy of formation comes out at 341.3 meV/atom. The calculation puts the calculated density at 8.8 g/cm³. The energy is -5.0752 eV per atom.

=====

Record 10
An optimized crystal structure of TbY6Er2Th. Source: Alexandria via LeMat-Bulk, functional GGA-PBE.

```
TbY6Er2Th
1.0
-7.137 -4.725 -3.666
5.954 -4.603 -4.640
-1.735 -2.922 8.161
Er Y Tb Th
4 12 2 2
Direct
0.944 0.696 0.799 Er
0.556 0.201 0.304 Er
0.444 0.799 0.696 Er
0.056 0.304 0.201 Er
0.608 0.480 0.711 Y
0.441 0.231 0.882 Y
0.892 0.289 0.520 Y
0.814 0.433 0.992 Y
0.686 0.008 0.567 Y
0.314 0.992 0.433 Y
0.108 0.711 0.480 Y
0.559 0.769 0.118 Y
0.941 0.882 0.231 Y
0.392 0.520 0.289 Y
0.186 0.567 0.008 Y
0.059 0.118 0.769 Y
0.250 0.414 0.586 Tb
0.750 0.586 0.414 Tb
0.750 0.034 0.966 Th
0.250 0.966 0.034 Th
```

The energy of formation comes out at 148.9 meV/atom. The calculation puts the calculated density at 6.4 g/cm³. The energy is -5.8471 eV per atom.

=====

Record 11
An optimized crystal structure of TbYErTh. Source: Alexandria via LeMat-Bulk, functional GGA-PBE.

```
TbYErTh
1.0
-1.387 -3.220 0.763
2.490 0.320 -2.565
8.305 0.342 8.103
Th Tb Y Er
1 1 1 1
Direct
0.303 0.549 0.867 Th
0.472 0.134 0.621 Tb
0.969 0.383 0.367 Y
0.134 0.965 0.114 Er
```

The energy of formation comes out at 3.4 meV/atom. The calculation puts the calculated density at 8.4 g/cm³. The energy is -5.7659 eV per atom.

=====

Record 12
An optimized crystal structure of Tb5YEr2Th. Source: Alexandria via LeMat-Bulk, functional GGA-PBE.

```
Tb5YEr2Th
1.0
5.704 0.000 0.000
-2.852 10.745 0.000
0.000 0.000 9.699
Tb Y Er Th
10 2 4 2
Direct
0.727 0.455 0.821 Tb
0.532 0.064 0.243 Tb
0.468 0.936 0.743 Tb
0.304 0.608 0.717 Tb
0.601 0.202 0.542 Tb
0.985 0.971 0.518 Tb
0.273 0.545 0.321 Tb
0.399 0.798 0.042 Tb
0.696 0.392 0.217 Tb
0.015 0.029 0.018 Tb
0.189 0.379 0.017 Y
0.811 0.621 0.517 Y
0.884 0.767 0.832 Er
0.116 0.233 0.332 Er
0.128 0.256 0.712 Er
0.872 0.744 0.212 Er
0.406 0.811 0.422 Th
0.594 0.189 0.922 Th
```

The energy of formation comes out at 159.6 meV/atom. The calculation puts the calculated density at 8.1 g/cm³. The energy is -4.9694 eV per atom.